DFT (PBE) results for a relaxed Er8P3Pb3C crystal.

Lattice parameters (Å, degrees): 7.715 7.734 8.929 115.74 90.00 119.95
Fractional positions:
Er (0.788, 0.576, 0.317)
Er (0.212, 0.424, 0.683)
Er (0.212, 0.971, 0.683)
Er (0.241, 0.029, 0.317)
Er (0.267, 0.535, 0.302)
Er (0.759, 0.971, 0.683)
Er (0.733, 0.465, 0.698)
Er (0.788, 0.029, 0.317)
Pb (0.500, 0.500, 0.000)
Pb (0.000, 0.500, 0.000)
Pb (0.000, 0.000, 0.000)
P (0.000, 0.500, 0.500)
P (0.500, 0.000, 0.500)
P (0.500, 0.500, 0.500)
C (0.000, 0.000, 0.500)

Calculated values
The total energy comes out at -5.75 eV/atom. The formation enthalpy at 0 K is -0.87 eV/atom.